## Pm2MgBe (GGA-PBE)

Data for Pm2MgBe after structural relaxation.

Cell and atoms, written as POSCAR:
```
Pm2MgBe
1.0
-0.999 0.679 -3.136
1.994 -0.751 -2.598
-4.500 -10.397 -2.620
Be Mg Pm
1 1 2
Cartesian
0.000 0.000 0.000
-1.752 -5.234 -4.177
-3.245 -7.702 -2.436
-0.260 -2.767 -5.918
```

Output
SG: R-3m, No. 166
ΔE to the lowest computed polymorph (eV/atom): 0.674
Energy relative to the elements (eV per atom): 0.701